[1]
First-principles (PBE) data for a relaxed structure of ScAl2Ga, as listed in Alexandria via LeMat-Bulk.

Results
Crystal system   tetragonal
VASP energy   -4.329 eV per atom
Volume   315.0 Å³ per cell

a = 7.5500 Å, b = 7.5500 Å, c = 5.5262 Å
α = 90.00°, β = 90.00°, γ = 90.00°
Space group I-42d (No. 122)
One atom of each set of equivalent atoms:
Sc1 0.0000 0.0000 0.0000 x4
Al1 0.2070 0.2500 0.6250 x8
Ga1 0.0000 0.0000 0.5000 x4

---

[2]
First-principles (PBE) data for a relaxed structure of Sc4AlGa2, as listed in Alexandria via LeMat-Bulk.

Results
Crystal system   trigonal
Offset from the most stable computed form   0.158 eV per atom
Volume   471.6 Å³ per cell

a = 4.7111 Å, b = 4.7111 Å, c = 24.5351 Å
α = 90.00°, β = 90.00°, γ = 120.00°
Space group R-3m (No. 166, hexagonal axes)
One atom of each set of equivalent atoms:
Sc1 0.0000 0.0000 0.1215 x6
Sc2 0.0000 0.0000 0.2891 x6
Al1 0.0000 0.0000 0.5000 x3
Ga1 0.0000 0.0000 0.3998 x6

---

[3]
First-principles (PBE) data for a relaxed structure of Sc3AlGa2, as listed in Alexandria via LeMat-Bulk.

Results
Crystal system   tetragonal
VASP energy   -5.340 eV per atom
Volume   114.4 Å³ per cell

a = 3.2767 Å, b = 3.2767 Å, c = 10.6501 Å
α = 90.00°, β = 90.00°, γ = 90.00°
Space group P4/mmm (No. 123)
One atom of each set of equivalent atoms:
Sc1 0.0000 0.0000 0.0000 x1
Sc2 0.0000 0.0000 0.3300 x2
Al1 0.5000 0.5000 0.5000 x1
Ga1 0.5000 0.5000 0.1654 x2

---

[4]
First-principles (PBE) data for a relaxed structure of ScAl2Ga6, as listed in Alexandria via LeMat-Bulk.

Results
Crystal system   monoclinic
VASP energy   -3.704 eV per atom
Volume   329.9 Å³ per cell

a = 4.1568 Å, b = 9.9153 Å, c = 8.3905 Å
α = 90.00°, β = 107.46°, γ = 90.00°
Space group P2_1/c (No. 14)
One atom of each set of equivalent atoms:
Sc1 0.0000 0.0000 0.0000 x2
Al1 0.3750 0.1492 0.8108 x4
Ga1 0.0045 0.7174 0.0113 x4
Ga2 0.2245 0.5071 0.8662 x4
Ga3 0.3853 0.6456 0.3273 x4

---

Which of these has the lowest volume?
Sc3AlGa2

---

Which of these has the highest volume?
Sc4AlGa2

---

volume of number 4 (ScAl2Ga6)?
329.9 Å³ per cell